1.
PBE CuReMo2, relaxed; final energy = -9.22 eV per atom; energy of formation from the pure elements = 0.33 eV/atom
1.0
0.000 3.098 3.098
3.098 0.000 3.098
3.098 3.098 0.000
Cu Re Mo
1 1 2
Direct
0.000 0.000 0.000
0.250 0.250 0.250
0.500 0.500 0.500
0.750 0.750 0.750

=====

2.
PBE Cu2ReMo, relaxed; final energy = -7.61 eV per atom; energy of formation from the pure elements = 0.26 eV/atom
1.0
-1.832 1.840 4.085
1.832 -1.840 4.085
1.832 1.840 -4.085
Cu Re Mo
2 1 1
Direct
0.250 0.250 0.000
0.750 0.750 0.000
0.500 0.000 0.500
0.000 0.500 0.500

=====

3.
PBE Cu2ReMo, relaxed; final energy = -7.34 eV per atom; energy of formation from the pure elements = 0.52 eV/atom
1.0
0.000 3.010 3.010
3.010 0.000 3.010
3.010 3.010 0.000
Cu Re Mo
2 1 1
Direct
0.250 0.250 0.250
0.750 0.750 0.750
0.000 0.000 0.000
0.500 0.500 0.500

=====

4.
PBE CuReMo2, relaxed; final energy = -9.33 eV per atom; energy of formation from the pure elements = 0.22 eV/atom
1.0
2.777 0.000 0.000
0.000 3.971 0.000
0.000 0.000 5.398
Cu Re Mo
1 1 2
Direct
0.000 0.000 0.000
0.000 0.000 0.500
0.500 0.500 0.254
0.500 0.500 0.746